Record 1
Below is K2BaMoH at its PBEsol-relaxed geometry, with properties calculated at the meta-GGA SCAN level.

As for the uncorrected energy: -90.26 eV/cell. The space group is P4/mmm.

Cell lengths 6.2944, 6.2944, 3.9263 Å; angles 90.00, 90.00, 90.00 degrees
Closest atoms and distances in Å follow each position.
Atoms (fractional coordinates):
K  0.0000  0.5000  0.0000  2 H 3.15
K  0.5000  0.0000  0.0000  2 H 3.15
Ba  0.0000  0.0000  0.5000  8 K 3.71, 2 Ba 3.93
Mo  0.5000  0.5000  0.5000  2 H 1.96
H  0.5000  0.5000  0.0000  2 Mo 1.96

=====

Record 2
Below is KBaSiHO4 at its PBEsol-relaxed geometry, with properties calculated at the meta-GGA SCAN level.

As for the uncorrected energy: -213.70 eV/cell. The space group is P2_1.

Cell lengths 5.7903, 8.0057, 5.9643 Å; angles 90.00, 118.26, 90.00 degrees
Closest atoms and distances in Å follow each position.
Atoms (fractional coordinates):
K  0.1299  0.0000  0.3023  4 O 2.61-2.90, 2 H 2.62-2.63
K  0.8701  0.5000  0.6977  4 O 2.61-2.90, 2 H 2.62-2.63
Ba  0.4878  0.2525  0.9975  6 O 2.64-2.78
Ba  0.5122  0.7525  0.0025  6 O 2.64-2.78
Si  0.1998  0.5125  0.3791  4 O 1.63-1.71
Si  0.8002  0.0125  0.6209  4 O 1.63-1.71
H  0.0081  0.2726  0.4657  1 O 1.06
H  0.9919  0.7726  0.5343  1 O 1.06
O  0.0028  0.6736  0.3273  1 H 1.49, 1 Si 1.65
O  0.0078  0.3384  0.3121  1 H 1.06
O  0.3323  0.5100  0.1917  1 Si 1.63
O  0.4125  0.5020  0.6816  1 Si 1.64
O  0.5875  0.0020  0.3184  1 Si 1.64
O  0.6677  0.0100  0.8083  1 Si 1.63
O  0.9922  0.8384  0.6879  1 H 1.06
O  0.9972  0.1736  0.6727  1 H 1.49, 1 Si 1.65

=====

Record 3
Below is BaLaH2 at its PBEsol-relaxed geometry, with properties calculated at the meta-GGA SCAN level.

The energy above the most stable polymorph in this dataset comes out at 43.4 kJ per mole of atoms. As for the uncorrected energy: -356.09 eV/cell. The space group is Fm-3m.

Cell lengths 6.6207, 6.6207, 6.6207 Å; angles 90.00, 90.00, 90.00 degrees
Closest atoms and distances in Å follow each position.
Atoms (fractional coordinates):
Ba  0.0000  0.0000  0.0000  8 H 2.87
Ba  0.0000  0.5000  0.5000  8 H 2.87
Ba  0.5000  0.0000  0.5000  8 H 2.87
Ba  0.5000  0.5000  0.0000  8 H 2.87
La  0.0000  0.0000  0.5000  8 H 2.87
La  0.0000  0.5000  0.0000  8 H 2.87
La  0.5000  0.0000  0.0000  8 H 2.87
La  0.5000  0.5000  0.5000  8 H 2.87
H  0.2500  0.2500  0.2500  4 Ba 2.87, 4 La 2.87
H  0.2500  0.2500  0.7500  4 Ba 2.87, 4 La 2.87
H  0.2500  0.7500  0.2500  4 Ba 2.87, 4 La 2.87
H  0.2500  0.7500  0.7500  4 Ba 2.87, 4 La 2.87
H  0.7500  0.2500  0.2500  4 Ba 2.87, 4 La 2.87
H  0.7500  0.2500  0.7500  4 Ba 2.87, 4 La 2.87
H  0.7500  0.7500  0.2500  4 Ba 2.87, 4 La 2.87
H  0.7500  0.7500  0.7500  4 Ba 2.87, 4 La 2.87

=====

Record 4
Below is BaLaH2 at its PBEsol-relaxed geometry, with properties calculated at the meta-GGA SCAN level.

The energy above the most stable polymorph in this dataset comes out at 0.0 kJ per mole of atoms. As for the uncorrected energy: -363.29 eV/cell. The space group is I-42d.

Cell lengths 5.7569, 5.7569, 11.1714 Å; angles 90.00, 90.00, 90.00 degrees
Closest atoms and distances in Å follow each position.
Atoms (fractional coordinates):
Ba  0.0000  0.0000  0.0000  4 H 2.62
Ba  0.0000  0.5000  0.2500  4 H 2.62
Ba  0.5000  0.0000  0.7500  4 H 2.62
Ba  0.5000  0.5000  0.5000  4 H 2.62
La  0.0000  0.0000  0.5000  4 H 2.33
La  0.0000  0.5000  0.7500  4 H 2.33
La  0.5000  0.0000  0.2500  4 H 2.33
La  0.5000  0.5000  0.0000  4 H 2.33
H  0.2066  0.2500  0.6250  2 La 2.33
H  0.2500  0.7066  0.8750  2 La 2.33
H  0.2500  0.7934  0.3750  2 La 2.33
H  0.2934  0.2500  0.1250  2 La 2.33
H  0.7066  0.7500  0.1250  2 La 2.33
H  0.7500  0.2066  0.3750  2 La 2.33
H  0.7500  0.2934  0.8750  2 La 2.33
H  0.7934  0.7500  0.6250  2 La 2.33

=====

Record 5
Below is Ba2MgH2 at its PBEsol-relaxed geometry, with properties calculated at the meta-GGA SCAN level.

As for the uncorrected energy: -185.33 eV/cell. The space group is I4/mmm.

Cell lengths 4.3511, 4.3511, 15.1400 Å; angles 90.00, 90.00, 90.00 degrees
Closest atoms and distances in Å follow each position.
Atoms (fractional coordinates):
Ba  0.0000  0.0000  0.1562  4 H 2.60
Ba  0.0000  0.0000  0.8438  4 H 2.60
Ba  0.5000  0.5000  0.3438  4 H 2.60
Ba  0.5000  0.5000  0.6562  4 H 2.60
Mg  0.0000  0.0000  0.5000  8 Ba 3.88
Mg  0.5000  0.5000  0.0000  8 Ba 3.88
H  0.0000  0.5000  0.2500  4 Ba 2.60
H  0.0000  0.5000  0.7500  4 Ba 2.60
H  0.5000  0.0000  0.2500  4 Ba 2.60
H  0.5000  0.0000  0.7500  4 Ba 2.60

=====

Record 6
Below is BaMgH4 at its PBEsol-relaxed geometry, with properties calculated at the meta-GGA SCAN level.

As for the uncorrected energy: -122.63 eV/cell. The space group is Cmcm.

Cell lengths 7.0411, 7.0411, 5.6356 Å; angles 90.00, 90.00, 145.89 degrees
Closest atoms and distances in Å follow each position.
Atoms (fractional coordinates):
Ba  0.1342  0.8658  0.7500  9 H 2.63-2.94
Ba  0.8658  0.1342  0.2500  9 H 2.63-2.94
Mg  0.4008  0.5992  0.7500  6 H 1.88-2.08
Mg  0.5992  0.4008  0.2500  6 H 1.88-2.08
H  0.0842  0.9158  0.2500  2 Mg 2.08
H  0.3076  0.6924  0.5027  1 Mg 1.88
H  0.3076  0.6924  0.9973  1 Mg 1.88
H  0.5000  0.5000  0.0000  2 Mg 1.94
H  0.5000  0.5000  0.5000  2 Mg 1.94
H  0.6924  0.3076  0.0027  1 Mg 1.88
H  0.6924  0.3076  0.4973  1 Mg 1.88
H  0.9158  0.0842  0.7500  2 Mg 2.08

=====

Record 7
Below is Ba2MgH6 at its PBEsol-relaxed geometry, with properties calculated at the meta-GGA SCAN level.

As for the uncorrected energy: -109.81 eV/cell. The space group is P-3m1.

Cell lengths 5.6408, 5.6408, 4.4796 Å; angles 90.00, 90.00, 120.00 degrees
Closest atoms and distances in Å follow each position.
Atoms (fractional coordinates):
Ba  0.3333  0.6667  0.2668  12 H 2.71-2.83
Ba  0.6667  0.3333  0.7332  12 H 2.71-2.83
Mg  0.0000  0.0000  0.0000  6 H 1.97
H  0.1731  0.3462  0.7729  1 Mg 1.97
H  0.1731  0.8269  0.7729  1 Mg 1.97
H  0.3462  0.1731  0.2271  1 Mg 1.97
H  0.6538  0.8269  0.7729  1 Mg 1.97
H  0.8269  0.1731  0.2271  1 Mg 1.97
H  0.8269  0.6538  0.2271  1 Mg 1.97

=====

Record 8
Below is Ba2Mg3H10 at its PBEsol-relaxed geometry, with properties calculated at the meta-GGA SCAN level.

As for the uncorrected energy: -271.09 eV/cell. The space group is C2/m.

Cell lengths 9.3595, 9.3595, 7.7523 Å; angles 110.71, 110.71, 36.09 degrees
Closest atoms and distances in Å follow each position.
Atoms (fractional coordinates):
Ba  0.1150  0.1150  0.2238  12 H 2.65-2.94
Ba  0.2161  0.2161  0.8068  7 H 2.60-2.84
Ba  0.7839  0.7839  0.1932  7 H 2.60-2.84
Ba  0.8850  0.8850  0.7762  12 H 2.65-2.94
Mg  0.2442  0.7558  0.5000  6 H 1.92-1.95
Mg  0.3272  0.3272  0.4860  6 H 1.91-2.03
Mg  0.4269  0.4269  0.0563  5 H 1.90-1.99
Mg  0.5731  0.5731  0.9437  5 H 1.90-1.99
Mg  0.6728  0.6728  0.5140  6 H 1.91-2.03
Mg  0.7558  0.2442  0.5000  6 H 1.92-1.95
H  0.0000  0.5000  0.5000  2 Mg 2.03
H  0.0231  0.0231  0.6865  2 Mg 1.95
H  0.1103  0.5871  0.0142  1 Mg 1.90
H  0.1234  0.6554  0.4805  2 Mg 1.91-1.92
H  0.2669  0.2669  0.2203  1 Mg 1.94
H  0.2770  0.7230  0.0000  2 Mg 1.99
H  0.3446  0.8766  0.5195  2 Mg 1.91-1.92
H  0.3662  0.3662  0.7569  2 Mg 1.95-2.16
H  0.4129  0.8897  0.9858  1 Mg 1.90
H  0.4786  0.4786  0.3243  3 Mg 1.93-1.95
H  0.5000  0.0000  0.5000  2 Mg 2.03
H  0.5214  0.5214  0.6757  3 Mg 1.93-1.95
H  0.5871  0.1103  0.0142  1 Mg 1.90
H  0.6338  0.6338  0.2431  2 Mg 1.95-2.16
H  0.6554  0.1234  0.4805  2 Mg 1.91-1.92
H  0.7230  0.2770  0.0000  2 Mg 1.99
H  0.7331  0.7331  0.7797  1 Mg 1.94
H  0.8766  0.3446  0.5195  2 Mg 1.91-1.92
H  0.8897  0.4129  0.9858  1 Mg 1.90
H  0.9769  0.9769  0.3135  2 Mg 1.95

=====

Record 9
Below is Ba6Mg7H26 at its PBEsol-relaxed geometry, with properties calculated at the meta-GGA SCAN level.

As for the uncorrected energy: -380.96 eV/cell. The space group is Immm.

Cell lengths 9.8589, 9.8589, 9.8589 Å; angles 146.12, 106.59, 83.36 degrees
Closest atoms and distances in Å follow each position.
Atoms (fractional coordinates):
Ba  0.1110  0.3522  0.7588  6 H 2.59-2.70
Ba  0.1432  0.1432  0.0000  12 H 2.60-2.89
Ba  0.4065  0.6478  0.7588  6 H 2.59-2.70
Ba  0.5935  0.3522  0.2412  6 H 2.59-2.70
Ba  0.8568  0.8568  0.0000  12 H 2.60-2.89
Ba  0.8890  0.6478  0.2412  6 H 2.59-2.70
Mg  0.0000  0.5000  0.5000  6 H 1.93-1.99
Mg  0.2435  0.0000  0.2435  6 H 1.91-2.08
Mg  0.2813  0.7813  0.5000  5 H 1.94-1.95
Mg  0.5000  0.2560  0.7560  6 H 1.92-1.95
Mg  0.5000  0.7440  0.2440  6 H 1.92-1.95
Mg  0.7187  0.2187  0.5000  5 H 1.94-1.95
Mg  0.7565  0.0000  0.7565  6 H 1.91-2.08
H  0.0968  0.8702  0.2266  1 Mg 1.92
H  0.1154  0.2480  0.3633  2 Mg 1.99-2.08
H  0.1154  0.7520  0.8674  2 Mg 1.99-2.08
H  0.1308  0.6308  0.5000  1 Mg 1.93
H  0.1403  0.5199  0.1532  1 Mg 1.94
H  0.1403  0.9871  0.6204  1 Mg 1.94
H  0.3369  0.2721  0.6090  2 Mg 1.91-1.92
H  0.3369  0.7279  0.0648  2 Mg 1.91-1.92
H  0.3564  0.1298  0.2266  1 Mg 1.92
H  0.3667  0.5199  0.3796  1 Mg 1.94
H  0.3667  0.9871  0.8468  1 Mg 1.94
H  0.4075  0.4075  0.0000  2 Mg 1.95
H  0.4135  0.9135  0.5000  3 Mg 1.95
H  0.5865  0.0865  0.5000  3 Mg 1.95
H  0.5925  0.5925  0.0000  2 Mg 1.95
H  0.6333  0.0129  0.1532  1 Mg 1.94
H  0.6333  0.4801  0.6204  1 Mg 1.94
H  0.6436  0.8702  0.7734  1 Mg 1.92
H  0.6631  0.2721  0.9352  2 Mg 1.91-1.92
H  0.6631  0.7279  0.3910  2 Mg 1.91-1.92
H  0.8597  0.0129  0.3796  1 Mg 1.94
H  0.8597  0.4801  0.8468  1 Mg 1.94
H  0.8692  0.3692  0.5000  1 Mg 1.93
H  0.8846  0.2480  0.1326  2 Mg 1.99-2.08
H  0.8846  0.7520  0.6367  2 Mg 1.99-2.08
H  0.9032  0.1298  0.7734  1 Mg 1.92

=====

| no. | DOS(E_F) (states/eV/cell) | total magnetization (μB per formula unit) |
| --- | --- | --- |
| 1 | 3.135 | 2.004 |
| 2 | 0.000 | 0.000 |
| 3 | 10.719 | 2.053 |
| 4 | 11.254 | 0.000 |
| 5 | 5.912 | 0.531 |
| 6 | 0.000 | 0.000 |
| 7 | 0.000 | 0.000 |
| 8 | 0.000 | 0.000 |
| 9 | 0.000 | 0.000 |